Version w
An optimized crystal structure of MgZn2Ru2. Source: Alexandria, functional PBE-GGA.

Lattice parameters (Å, degrees): 7.068 7.068 3.133 90.00 90.00 90.00
Last column: magnetic moment on the atom in μB.
Atoms (fractional coordinates):
1 Ru 0.374 0.874 0.000  0.46
2 Ru 0.874 0.626 0.000  0.45
3 Ru 0.626 0.126 0.000  0.46
4 Ru 0.126 0.374 0.000  0.45
5 Zn 0.170 0.670 0.500  0.00
6 Zn 0.670 0.830 0.500  0.00
7 Zn 0.830 0.330 0.500  0.00
8 Zn 0.330 0.170 0.500  0.00
9 Mg 0.000 0.000 0.000  0.00
10 Mg 0.500 0.500 0.000  0.00

***

Version x
An optimized crystal structure of MgZn2Ru2. Source: Alexandria, functional PBE-GGA.

Lattice parameters (Å, degrees): 3.664 3.664 6.627 73.95 73.95 90.00
Last column: magnetic moment on the atom in μB.
Atoms (fractional coordinates):
1 Ru 0.400 0.400 0.201  0.61
2 Ru 0.600 0.600 0.799  0.61
3 Zn 0.750 0.250 0.500  0.01
4 Zn 0.250 0.750 0.500  0.01
5 Mg 0.000 0.000 0.000  -0.01

***

Most stable structure among those shown: version w. Next: +211 meV per atom.